[1]
Y4TeCS2 | PBE | optimized geometry

Summary:
Density of states at the Fermi level in states/eV per cell: 2.60
V in Å³/f.u.: 179.5
Raw formation energy in eV per atom: -1.3943
Magnetic moment in Bohr magnetons per cell: 0.00
SG: No. 10

a = 3.911 Å, b = 6.780 Å, c = 7.180 Å
α = 70.51°, β = 90.00°, γ = 90.00°
Element x y z (fractional)
1 Y 0.000 0.743 0.700
2 Y 0.000 0.257 0.300
3 Y 0.500 0.728 0.289
4 Y 0.500 0.272 0.711
5 Te 0.500 0.500 0.000
6 C 0.000 0.500 0.500
7 S 0.000 0.000 0.000
8 S 0.500 0.000 0.500

---

[2]
ZnTc2Br | PBE | optimized geometry

Summary:
Density of states at the Fermi level in states/eV per cell: 3.90
V in Å³/f.u.: 64.9
Raw formation energy in eV per atom: 0.8011
Magnetic moment in Bohr magnetons per cell: 0.01
SG: No. 47
ΔE to the lowest computed polymorph in meV per atom: 650.8

a = 2.912 Å, b = 4.802 Å, c = 4.644 Å
α = 90.00°, β = 90.00°, γ = 90.00°
Site moments in Bohr magnetons follow the coordinates.
Element x y z (fractional)
1 Br 0.000 0.500 0.500  0.02
2 Tc 0.000 0.000 0.000  0.26
3 Tc 0.500 0.500 0.000  -0.28
4 Zn 0.500 0.000 0.500  -0.01

---

[3]
Y2VCr | PBE | optimized geometry

Summary:
Density of states at the Fermi level in states/eV per cell: 12.68
V in Å³/f.u.: 97.4
Magnetic moment in Bohr magnetons per cell: 13.83
SG: No. 122
ΔE to the lowest computed polymorph in meV per atom: 449.1
Formation energy in eV/f.u.: 3.48

a = 7.867 Å, b = 7.867 Å, c = 6.392 Å
α = 52.02°, β = 52.02°, γ = 90.00°
Site moments in Bohr magnetons follow the coordinates.
Element x y z (fractional)
1 Y 0.630 0.125 0.250  0.06
2 Y 0.120 0.625 0.250  0.06
3 Y 0.375 0.370 0.750  0.06
4 Y 0.875 0.880 0.750  0.06
5 Cr 0.000 0.000 0.000  3.54
6 Cr 0.750 0.250 0.500  3.54
7 V 0.500 0.500 0.000  2.51
8 V 0.250 0.750 0.500  2.51

---

[4]
La3BMo | PBE | optimized geometry

Summary:
Density of states at the Fermi level in states/eV per cell: 9.80
V in Å³/f.u.: 140.4
Magnetic moment in Bohr magnetons per cell: 0.00
SG: No. 221
ΔE to the lowest computed polymorph in meV per atom: 0.0
Formation energy in eV/f.u.: 3.64

a = 5.197 Å, b = 5.197 Å, c = 5.197 Å
α = 90.00°, β = 90.00°, γ = 90.00°
Element x y z (fractional)
1 Mo 0.500 0.500 0.500
2 B 0.000 0.000 0.000
3 La 0.000 0.500 0.000
4 La 0.000 0.000 0.500
5 La 0.500 0.000 0.000

---

[5]
LiMoCl | PBE | optimized geometry

Summary:
Density of states at the Fermi level in states/eV per cell: 0.63
V in Å³/f.u.: 45.3
Raw formation energy in eV per atom: 0.5779
Magnetic moment in Bohr magnetons per cell: 0.00
SG: No. 216
ΔE to the lowest computed polymorph in meV per atom: 548.3

a = 4.002 Å, b = 4.002 Å, c = 4.002 Å
α = 60.00°, β = 60.00°, γ = 60.00°
Element x y z (fractional)
1 Cl 0.250 0.250 0.250
2 Li 0.000 0.000 0.000
3 Mo 0.500 0.500 0.500

---

[6]
Tm2MgCo | PBE | optimized geometry

Summary:
Density of states at the Fermi level in states/eV per cell: 3.28
V in Å³/f.u.: 86.0
Magnetic moment in Bohr magnetons per cell: 0.41
SG: No. 123
ΔE to the lowest computed polymorph in meV per atom: 168.8
Formation energy in eV/f.u.: -0.04

a = 3.578 Å, b = 4.902 Å, c = 4.902 Å
α = 90.00°, β = 90.00°, γ = 90.00°
Site moments in Bohr magnetons follow the coordinates.
Element x y z (fractional)
1 Mg 0.500 0.000 0.000  0.00
2 Tm 0.000 0.000 0.500  -0.14
3 Tm 0.000 0.500 0.000  -0.14
4 Co 0.500 0.500 0.500  0.78

---

[7]
LiLaPH | PBE | optimized geometry

Summary:
V in Å³/f.u.: 66.8
Magnetic moment in Bohr magnetons per cell: 0.00
SG: No. 129
ΔE to the lowest computed polymorph in meV per atom: 0.0

a = 4.029 Å, b = 4.029 Å, c = 8.227 Å
α = 90.00°, β = 90.00°, γ = 90.00°
Element x y z (fractional)
1 Li 0.000 0.000 0.500
2 Li 0.500 0.500 0.500
3 La 0.000 0.500 0.829
4 La 0.500 0.000 0.171
5 P 0.500 0.000 0.692
6 P 0.000 0.500 0.308
7 H 0.500 0.500 0.000
8 H 0.000 0.000 0.000

---

[8]
NaSnI2 | PBE | optimized geometry

Summary:
V in Å³/f.u.: 164.7
Raw formation energy in eV per atom: -0.6951
Magnetic moment in Bohr magnetons per cell: 0.00
SG: No. 1
ΔE to the lowest computed polymorph in meV per atom: 0.1

a = 4.749 Å, b = 8.263 Å, c = 9.151 Å
α = 74.45°, β = 90.07°, γ = 72.85°
Element x y z (fractional)
1 Na 0.011 0.753 0.649
2 Na 0.201 0.379 0.397
3 Sn 0.624 0.954 0.031
4 Sn 0.009 0.177 0.013
5 I 0.605 0.566 0.524
6 I 0.378 0.027 0.712
7 I 0.839 0.106 0.333
8 I 0.927 0.567 0.024

---

[9]
RbPuH2 | PBE | optimized geometry

Summary:
Density of states at the Fermi level in states/eV per cell: 7.90
V in Å³/f.u.: 76.4
Magnetic moment in Bohr magnetons per cell: 6.45
SG: No. 166
ΔE to the lowest computed polymorph in meV per atom: 0.0

a = 3.551 Å, b = 3.551 Å, c = 7.287 Å
α = 75.90°, β = 75.90°, γ = 60.00°
Site moments in Bohr magnetons follow the coordinates.
Element x y z (fractional)
1 H 0.731 0.731 0.806  -0.02
2 H 0.269 0.269 0.194  -0.02
3 Rb 0.500 0.500 0.500  0.04
4 Pu 0.000 0.000 0.000  5.73

---

[10]
ScSiRu2 | PBE | optimized geometry

Summary:
Density of states at the Fermi level in states/eV per cell: 3.42
V in Å³/f.u.: 65.8
Raw formation energy in eV per atom: 0.0219
Magnetic moment in Bohr magnetons per cell: 0.00
SG: No. 71

a = 5.786 Å, b = 5.786 Å, c = 5.786 Å
α = 54.32°, β = 151.04°, γ = 135.11°
Element x y z (fractional)
1 Sc 0.000 0.500 0.500
2 Si 0.000 0.000 0.000
3 Ru 0.000 0.213 0.213
4 Ru 0.000 0.787 0.787

---

[11]
Cr2GaSiIr | PBE | optimized geometry

Summary:
Density of states at the Fermi level in states/eV per cell: 10.18
V in Å³/f.u.: 84.6
Raw formation energy in eV per atom: 1.4780
Magnetic moment in Bohr magnetons per cell: 0.00
SG: No. 123

a = 4.330 Å, b = 4.512 Å, c = 4.330 Å
α = 90.00°, β = 90.00°, γ = 90.00°
Element x y z (fractional)
1 Cr 0.000 0.000 0.500
2 Cr 0.500 0.000 0.000
3 Si 0.500 0.500 0.500
4 Ir 0.000 0.500 0.000
5 Ga 0.000 0.000 0.000

---

[12]
Ta2Sb2Au | PBE | optimized geometry

Summary:
Density of states at the Fermi level in states/eV per cell: 6.71
V in Å³/f.u.: 111.1
Raw formation energy in eV per atom: 0.5135
Magnetic moment in Bohr magnetons per cell: 0.00
SG: No. 139
ΔE to the lowest computed polymorph in meV per atom: 461.3

a = 4.055 Å, b = 4.055 Å, c = 7.340 Å
α = 73.97°, β = 73.97°, γ = 90.00°
Element x y z (fractional)
1 Sb 0.750 0.250 0.500
2 Sb 0.250 0.750 0.500
3 Au 0.000 0.000 0.000
4 Ta 0.404 0.404 0.192
5 Ta 0.596 0.596 0.808